# 1
First-principles (PBE) data for a relaxed structure of RbCaVBr6, as listed in the Alexandria database.

Values from the calculation:
Its density of states at the Fermi level is 10.40 states/eV/f.u. The value obtained for the mass density is 3.22 g/cm³. For the formation energy from raw total energies, the calculation gives -1.441 eV per atom.

CIF file:
```
data_RbCaVBr6
_chemical_formula_sum 'Rb1 Ca1 V1 Br6'
_symmetry_space_group_name_H-M 'P 3 1 2'
_symmetry_Int_Tables_number 149
_cell_length_a 7.1709
_cell_length_b 7.1709
_cell_length_c 7.6034
_cell_angle_alpha 90.00
_cell_angle_beta 90.00
_cell_angle_gamma 120.00
loop_
_symmetry_equiv_pos_as_xyz
'x,y,z'
'-y,x-y,z'
'-x+y,-x,z'
'-y,-x,-z'
'-x+y,y,-z'
'x,x-y,-z'
loop_
_atom_site_label
_atom_site_type_symbol
_atom_site_fract_x
_atom_site_fract_y
_atom_site_fract_z
Rb1 Rb 0.0000 0.0000 0.0000
Ca1 Ca 0.3333 0.6667 0.5000
V1 V 0.6667 0.3333 0.5000
Br1 Br 0.3862 0.0350 0.6995
```

# 2
First-principles (PBE) data for a relaxed structure of RbCa2VBr8, as listed in the Alexandria database.

Values from the calculation:
Its density of states at the Fermi level is 8.96 states/eV/f.u. The value obtained for the mass density is 3.50 g/cm³. For the formation energy from raw total energies, the calculation gives -1.503 eV per atom.

CIF file:
```
data_RbCa2VBr8
_chemical_formula_sum 'Rb1 Ca2 V1 Br8'
_symmetry_space_group_name_H-M 'P -1'
_symmetry_Int_Tables_number 2
_cell_length_a 6.545
_cell_length_b 6.847
_cell_length_c 9.058
_cell_angle_alpha 89.96
_cell_angle_beta 89.94
_cell_angle_gamma 88.70
loop_
_symmetry_equiv_pos_as_xyz
'x,y,z'
'-x,-y,-z'
loop_
_atom_site_label
_atom_site_type_symbol
_atom_site_fract_x
_atom_site_fract_y
_atom_site_fract_z
Rb1 Rb 0.000 0.000 0.000
Ca1 Ca 0.500 0.500 0.255
V1 V 0.000 0.000 0.500
Br1 Br 0.230 0.845 0.696
Br2 Br 0.231 0.845 0.304
Br3 Br 0.239 0.313 0.500
Br4 Br 0.267 0.387 0.000
```